Density functional theory data (PBE-GGA) for a relaxed CrFeTe2 crystal.

abc: 6.453 6.453 6.453
angles: 90.00 90.00 90.00
Space group Fm-3m (No. 225)
Inequivalent atoms, fractional coordinates:
Cr 0.000 0.000 0.000 (multiplicity 4)
Fe 0.000 0.000 0.500 (multiplicity 4)
Te 0.250 0.250 0.250 (multiplicity 8)

Properties
Volume ... 16.80 Å³ per atom
Magnetic moment ... 0.00 μB per cell
N(E_F) ... 22.39 states/eV/cell
Offset from the most stable computed form ... 527 meV per atom
Total DFT energy (no corrections) ... -5.508 eV/atom

---

Density functional theory data (PBE-GGA) for a relaxed Cr3FeTe crystal.

abc: 4.456 4.456 4.456
angles: 90.00 90.00 90.00
Space group Pm-3m (No. 221)
Inequivalent atoms, fractional coordinates:
Cr 0.000 0.000 0.500 (multiplicity 3)
Fe 0.000 0.000 0.000 (multiplicity 1)
Te 0.500 0.500 0.500 (multiplicity 1)

Properties
Volume ... 17.69 Å³ per atom
Magnetic moment ... 6.90 μB per cell
N(E_F) ... 9.17 states/eV/cell
Offset from the most stable computed form ... 0 meV per atom
Total DFT energy (no corrections) ... -7.197 eV/atom

---

Density functional theory data (PBE-GGA) for a relaxed CrFeTe crystal.

abc: 5.906 5.906 5.906
angles: 90.00 90.00 90.00
Space group F-43m (No. 216)
Inequivalent atoms, fractional coordinates:
Cr 0.000 0.000 0.000 (multiplicity 4)
Fe 0.250 0.250 0.750 (multiplicity 4)
Te 0.250 0.250 0.250 (multiplicity 4)

Properties
Volume ... 17.16 Å³ per atom
Magnetic moment ... 4.74 μB per cell
N(E_F) ... 14.48 states/eV/cell
Offset from the most stable computed form ... 212 meV per atom
Total DFT energy (no corrections) ... -6.743 eV/atom

---

Q: Which of these has the highest total DFT energy (no corrections)?
A: CrFeTe2

---

Q: Look up the volume of the first one.
A: 16.80 Å³ per atom